First-principles (PBE) data for a relaxed Cs2ErGaSe4 crystal, as listed in Alexandria.

Magnetization, μB per cell: 0.00

Lattice parameters (Å, degrees): 6.3645 15.1384 26.6877 90.00 90.00 90.00
Last column: nearest neighbours and their distance in Å.
Space group Fddd (No. 70, origin choice 2)
Inequivalent atoms, fractional coordinates:
Cs  0.1250  0.1250  0.3045 x16  8 Se 3.83-4.11
Er  0.1250  0.1250  0.1250 x8  4 Se 2.68
Ga  0.1250  0.1250  0.6250 x8  4 Se 2.47
Se  0.0982  0.2784  0.8227 x32  1 Ga 2.47, 1 Er 2.68

First-principles (PBE) data for a relaxed CsErGaTe3 crystal, as listed in Alexandria.

Magnetization, μB per cell: 0.00

Lattice parameters (Å, degrees): 10.1981 4.5160 11.0619 90.00 108.50 90.00
Last column: nearest neighbours and their distance in Å.
Space group P2_1/m (No. 11)
Inequivalent atoms, fractional coordinates:
Cs  0.2032  0.2500  0.2488 x2  7 Te 3.85-4.17, 2 Ga 4.23
Er  0.3440  0.7500  0.8733 x2  6 Te 3.02-3.21
Ga  0.0737  0.2500  0.6185 x2  4 Te 2.74-2.99
Te  0.1360  0.2500  0.8781 x2  1 Ga 2.74
Te  0.2120  0.7500  0.5681 x2  3 Ga 2.81-2.99
Te  0.4648  0.7500  0.1601 x2  3 Er 3.02-3.08

First-principles (PBE) data for a relaxed CsErGeO4 crystal, as listed in Alexandria.

Magnetization, μB per cell: 0.00

Lattice parameters (Å, degrees): 5.7506 5.9636 8.1369 90.00 109.16 90.00
Last column: nearest neighbours and their distance in Å.
Space group P2_1/m (No. 11)
Inequivalent atoms, fractional coordinates:
Cs  0.1946  0.2500  0.4339 x2  2 O 2.85-3.12
Er  0.3008  0.2500  0.9656 x2  6 O 2.24-2.39
Ge  0.2420  0.7500  0.1452 x2  4 O 1.77-1.80
O  0.0201  0.7500  0.9350 x2  1 Ge 1.77
O  0.0542  0.7500  0.2789 x2  1 Ge 1.77
O  0.4580  0.5254  0.1599 x4  1 Ge 1.80

First-principles (PBE) data for a relaxed Cs2ErGeO4 crystal, as listed in Alexandria.

Magnetization, μB per cell: 0.00

Lattice parameters (Å, degrees): 5.7272 13.4190 24.3633 90.00 90.00 90.00
Last column: nearest neighbours and their distance in Å.
Space group Fddd (No. 70, origin choice 2)
Inequivalent atoms, fractional coordinates:
Cs  0.1250  0.1250  0.3036 x16  4 O 3.52-3.60
Er  0.1250  0.1250  0.1250 x8  4 O 2.16
Ge  0.1250  0.1250  0.6250 x8  4 O 1.84
O  0.0855  0.2968  0.8378 x32  1 Ge 1.84

Number 1: D(E_F) 0.000 states/eV per atom, formation energy from raw total energies -1267 meV per atom. Number 2: D(E_F) 0.233 states/eV per atom, formation energy from raw total energies -968 meV per atom. Number 3: D(E_F) 0.000 states/eV per atom, formation energy from raw total energies -2393 meV per atom. Number 4: D(E_F) 0.271 states/eV per atom, formation energy from raw total energies -1856 meV per atom.